(1)
Below is an optimized crystal structure of DyAg2F6, with properties calculated at the GGA-PBE level.

a b c (Å): 12.332 4.014 7.260
angles (deg): 90.00 125.04 90.00
Space group C2/m (No. 12)
Asymmetric unit:
Dy  0.000  0.000  0.000
Ag  0.176  0.000  0.631
F  0.024  0.000  0.710
F  0.112  0.500  0.037
F  0.203  0.000  0.328

Properties
E_tot in eV per cell: -86.12

(2)
Below is an optimized crystal structure of DyAg3F6, with properties calculated at the GGA-PBE level.

a b c (Å): 7.584 11.657 3.871
angles (deg): 90.00 90.00 90.00
Space group Cmmm (No. 65)
Asymmetric unit:
Dy  0.000  0.000  0.000
Ag  0.000  0.500  0.000
Ag  0.250  0.250  0.500
F  0.000  0.108  0.500
F  0.246  0.115  0.000

Properties
E_tot in eV per cell: -92.83

| no. | total magnetization (μB per cell) |
| --- | --- |
| 1 | 2.11 |
| 2 | 0.00 |